Entry 1:
Here is crystalline Zn2Pb at its relaxed geometry from the Alexandria database. Energies are from PBE.

Results
As for the total energy: -1.846 eV per atom. Its total moment is 0.0 μB per cell. As for the space group: Immm.

Cell lengths 3.5328, 5.4259, 7.3257 Å; angles 90.00, 90.00, 90.00 degrees
Fractional coordinates of all 6 atoms:
Zn1 0.0000 0.0000 0.1779
Zn2 0.0000 0.0000 0.8221
Zn3 0.5000 0.5000 0.3221
Zn4 0.5000 0.5000 0.6779
Pb1 0.0000 0.5000 0.0000
Pb2 0.5000 0.0000 0.5000

***

Entry 2:
Here is crystalline Th2GeHIr6 at its relaxed geometry from the Alexandria database. Energies are from PBE.

Results
As for the total energy: -8.046 eV per atom. Its total moment is 0.0 μB per cell. As for the space group: Immm.

Cell lengths 6.1996, 6.1996, 6.1996 Å; angles 123.28, 114.57, 92.03 degrees
Fractional coordinates of all 10 atoms:
Th1 0.2304 0.2304 0.0000
Th2 0.7696 0.7696 0.0000
Ge1 0.0000 0.5000 0.5000
H1 0.5000 0.0000 0.5000
Ir1 0.2769 0.7769 0.5000
Ir2 0.2885 0.2503 0.5388
Ir3 0.2885 0.7497 0.0382
Ir4 0.7115 0.2503 0.9618
Ir5 0.7115 0.7497 0.4612
Ir6 0.7231 0.2231 0.5000

***

Entry 3:
Here is crystalline LiTbMgTc at its relaxed geometry from the Alexandria database. Energies are from PBE.

Results
As for the total energy: -4.429 eV per atom. Its total moment is 0.0 μB per cell. As for the space group: F-43m.

Cell lengths 6.7719, 6.7719, 6.7719 Å; angles 90.00, 90.00, 90.00 degrees
Fractional coordinates of all 16 atoms:
Li1 0.0000 0.0000 0.0000
Li2 0.0000 0.5000 0.5000
Li3 0.5000 0.0000 0.5000
Li4 0.5000 0.5000 0.0000
Tb1 0.2500 0.2500 0.7500
Tb2 0.2500 0.7500 0.2500
Tb3 0.7500 0.2500 0.2500
Tb4 0.7500 0.7500 0.7500
Mg1 0.2500 0.2500 0.2500
Mg2 0.2500 0.7500 0.7500
Mg3 0.7500 0.2500 0.7500
Mg4 0.7500 0.7500 0.2500
Tc1 0.0000 0.0000 0.5000
Tc2 0.0000 0.5000 0.0000
Tc3 0.5000 0.0000 0.0000
Tc4 0.5000 0.5000 0.5000

***

Entry 4:
Here is crystalline Li2MgTa at its relaxed geometry from the Alexandria database. Energies are from PBE.

Results
As for the total energy: -3.874 eV per atom. Its total moment is 0.0 μB per cell. As for the space group: Immm.

Cell lengths 2.6948, 5.2659, 10.7063 Å; angles 90.00, 90.00, 90.00 degrees
Fractional coordinates of all 8 atoms:
Li1 0.0000 0.0000 0.2434
Li2 0.0000 0.0000 0.7566
Li3 0.5000 0.5000 0.2566
Li4 0.5000 0.5000 0.7434
Mg1 0.0000 0.5000 0.5000
Mg2 0.5000 0.0000 0.0000
Ta1 0.0000 0.5000 0.0000
Ta2 0.5000 0.0000 0.5000